No. 1
GeSe | GGA-PBEsol | optimized geometry

Cell: 8.0266 8.0266 8.0266 Å, 26.94 26.94 26.94°
Fractional coordinates of all 4 atoms:
Ge1 0.2075 0.2075 0.2075
Ge2 0.7925 0.7925 0.7925
Se1 0.4009 0.4009 0.4009
Se2 0.5991 0.5991 0.5991

No. 2
GeSe | GGA-PBEsol | optimized geometry

Cell: 10.6953 3.8529 4.2571 Å, 90.00 90.00 90.00°
Fractional coordinates of all 8 atoms:
Ge1 0.1185 0.2500 0.1062
Ge2 0.3815 0.7500 0.6062
Ge3 0.6185 0.2500 0.3938
Ge4 0.8815 0.7500 0.8938
Se1 0.1443 0.7500 0.5064
Se2 0.3557 0.2500 0.0064
Se3 0.6443 0.7500 0.9936
Se4 0.8557 0.2500 0.4936

No. 3
GeSe2 | GGA-PBEsol | optimized geometry

Cell: 7.0077 17.0228 11.7022 Å, 90.00 91.06 90.00°
Fractional coordinates of all 48 atoms:
Ge1 0.1600 0.1466 0.2732
Ge2 0.1600 0.3534 0.7732
Ge3 0.1637 0.0027 0.8012
Ge4 0.1637 0.4973 0.3012
Ge5 0.3337 0.1577 0.7206
Ge6 0.3337 0.3423 0.2206
Ge7 0.3369 0.6860 0.2282
Ge8 0.3369 0.8140 0.7282
Ge9 0.6631 0.1860 0.2718
Ge10 0.6631 0.3140 0.7718
Ge11 0.6663 0.6577 0.7794
Ge12 0.6663 0.8423 0.2794
Ge13 0.8363 0.5027 0.6988
Ge14 0.8363 0.9973 0.1988
Ge15 0.8400 0.6466 0.2268
Ge16 0.8400 0.8534 0.7268
Se1 0.0934 0.6512 0.0947
Se2 0.0934 0.8488 0.5947
Se3 0.1336 0.2451 0.1311
Se4 0.1336 0.2549 0.6311
Se5 0.1699 0.0219 0.1823
Se6 0.1699 0.4781 0.6823
Se7 0.2322 0.1196 0.9056
Se8 0.2322 0.3804 0.4056
Se9 0.2710 0.0395 0.6166
Se10 0.2710 0.4605 0.1166
Se11 0.3341 0.6839 0.8004
Se12 0.3341 0.8161 0.3004
Se13 0.3477 0.6006 0.3873
Se14 0.3477 0.8994 0.8873
Se15 0.4112 0.1731 0.4044
Se16 0.4112 0.3269 0.9044
Se17 0.5888 0.6731 0.0956
Se18 0.5888 0.8269 0.5956
Se19 0.6523 0.1006 0.1127
Se20 0.6523 0.3994 0.6127
Se21 0.6659 0.1839 0.6996
Se22 0.6659 0.3161 0.1996
Se23 0.7290 0.5395 0.8834
Se24 0.7290 0.9605 0.3834
Se25 0.7678 0.6196 0.5944
Se26 0.7678 0.8804 0.0944
Se27 0.8301 0.5219 0.3177
Se28 0.8301 0.9781 0.8177
Se29 0.8664 0.7451 0.3689
Se30 0.8664 0.7549 0.8689
Se31 0.9066 0.1512 0.4053
Se32 0.9066 0.3488 0.9053

No. 4
GeSe2 | GGA-PBEsol | optimized geometry

Cell: 6.3062 6.3062 6.3062 Å, 125.62 125.62 80.51°
Fractional coordinates of all 6 atoms:
Ge1 0.0000 0.0000 0.0000
Ge2 0.7500 0.2500 0.5000
Se1 0.1277 0.1250 0.5027
Se2 0.3750 0.8723 0.9973
Se3 0.6223 0.6250 0.4973
Se4 0.8750 0.3777 0.0027

No. 5
GeSe | GGA-PBEsol | optimized geometry

Cell: 3.9315 3.9315 3.9315 Å, 60.00 60.00 60.00°
Fractional coordinates of all 2 atoms:
Ge1 0.0000 0.0000 0.0000
Se1 0.5000 0.5000 0.5000

No. 6
Si2TcGeSe | GGA-PBEsol | optimized geometry

Cell: 4.7778 4.7778 4.5212 Å, 90.00 90.00 90.00°
Fractional coordinates of all 5 atoms:
Si1 0.0000 0.5000 0.0000
Si2 0.5000 0.0000 0.0000
Tc1 0.0000 0.0000 0.5000
Ge1 0.5000 0.5000 0.5000
Se1 0.0000 0.0000 0.0000

Record-wise mass density values, in g cm⁻³: 5.378 5.740 4.389 4.790 5.858 4.920
Record-wise calculated total energy values, in eV/cell: -18.572 -36.991 -213.066 -26.607 -9.266 -25.065
Record-wise energy relative to the elements, uncorrected values, in eV per atom: -0.2483 -0.2293 -0.2257 -0.2213 -0.2383 1.2969